Record 1
VASP calculation (GGA-PBE) on a geometry-optimized Sm2FeC structure.

a b c (Å): 3.5363 3.5363 25.5180
angles (deg): 90.00 90.00 120.00
Space group R-3m (No. 166, hexagonal axes)
Symmetry-distinct sites (fractional):
Sm 0.0000 0.0000 0.1113 (multiplicity 6)
Fe 0.0000 0.0000 0.0000 (multiplicity 3)
C 0.0000 0.0000 0.5000 (multiplicity 3)

Calculated formation energy = 509 meV/atom
Offset from the most stable computed form = 0.6428 eV per atom
DOS(E_F) = 1.019 states/eV per atom

Record 2
VASP calculation (GGA-PBE) on a geometry-optimized Ir4RuPb structure.

a b c (Å): 7.472 7.472 7.472
angles (deg): 90.00 90.00 90.00
Space group F-43m (No. 216)
Symmetry-distinct sites (fractional):
Ir 0.125 0.125 0.125 (multiplicity 16)
Ru 0.250 0.250 0.750 (multiplicity 4)
Pb 0.000 0.000 0.500 (multiplicity 4)

Calculated formation energy = 689 meV/atom
DOS(E_F) = 1.833 states/eV per atom

Record 3
VASP calculation (GGA-PBE) on a geometry-optimized LiPaBiO4 structure.

a b c (Å): 6.042 6.971 11.220
angles (deg): 90.00 90.00 90.00
Space group Imma (No. 74)
Symmetry-distinct sites (fractional):
Li 0.250 0.250 0.250 (multiplicity 4)
Pa 0.000 0.000 0.000 (multiplicity 4)
Bi 0.000 0.250 0.704 (multiplicity 4)
O 0.000 0.032 0.194 (multiplicity 8)
O 0.220 0.250 0.990 (multiplicity 8)

E_form (uncorrected) = -2.36 eV/atom
DOS(E_F) = 0.158 states/eV per atom

- The lowest DOS(E_F) belongs to which entry?
  LiPaBiO4

- Which of these has the highest DOS(E_F)?
  Ir4RuPb

- Which formula does entry 2 have?
  Ir4RuPb

- Which value of DOS(E_F) does entry 2 give?
  1.833 states/eV per atom